The following is a DFT calculation (PBE) of NbInCuIr after structural relaxation.

Cell lengths 4.518, 4.518, 4.518 Å; angles 60.00, 60.00, 60.00 degrees
Positions (direct):
1 Nb 0.000 0.000 0.000
2 In 0.500 0.500 0.500
3 Cu 0.750 0.750 0.750
4 Ir 0.250 0.250 0.250

Calculated values
**Offset from the most stable computed form**: 0 meV per atom
**Energy**: -6.54 eV per atom
**Volume**: 65 Å³/cell
**Magnetization**: 0.0 μB per cell